# Nd2Ho3Tm2

A relaxed Nd2Ho3Tm2 crystal (PBE-GGA, Alexandria).

Geometry as CIF:
```
data_Nd2Ho3Tm2
_chemical_formula_sum 'Nd4 Ho6 Tm4'
_cell_length_a 17.4681
_cell_length_b 3.4992
_cell_length_c 8.5056
_cell_angle_alpha 90.00
_cell_angle_beta 119.00
_cell_angle_gamma 90.00
_space_group_name_H-M_alt 'C 1 2/m 1'
_space_group_IT_number 12
loop_
_space_group_symop_operation_xyz
'x,y,z'
'-x,-y,-z'
'-x,y,-z'
'x,-y,z'
'x+1/2,y+1/2,z'
'-x+1/2,-y+1/2,-z'
'-x+1/2,y+1/2,-z'
'x+1/2,-y+1/2,z'
loop_
_atom_site_label
_atom_site_type_symbol
_atom_site_fract_x
_atom_site_fract_y
_atom_site_fract_z
Nd1 Nd 0.0669 0.0000 0.2204
Ho1 Ho 0.0000 0.5000 0.5000
Ho2 Ho 0.2114 0.5000 0.6251
Tm1 Tm 0.1509 0.5000 0.9664
```

Values from the calculation:
N(E_F) = 1.522 states/eV per atom
E_form = 0.13 eV/atom
Polymorph energy (0 for the lowest one) = 104 meV/atom

***

# Nd2Ho3Tm

A relaxed Nd2Ho3Tm crystal (PBE-GGA, Alexandria).

Geometry as CIF:
```
data_Nd2Ho3Tm
_chemical_formula_sum 'Nd8 Ho12 Tm4'
_cell_length_a 22.6234
_cell_length_b 3.5793
_cell_length_c 9.6285
_cell_angle_alpha 90.00
_cell_angle_beta 92.85
_cell_angle_gamma 90.00
_space_group_name_H-M_alt 'C 1 2/m 1'
_space_group_IT_number 12
loop_
_space_group_symop_operation_xyz
'x,y,z'
'-x,-y,-z'
'-x,y,-z'
'x,-y,z'
'x+1/2,y+1/2,z'
'-x+1/2,-y+1/2,-z'
'-x+1/2,y+1/2,-z'
'x+1/2,-y+1/2,z'
loop_
_atom_site_label
_atom_site_type_symbol
_atom_site_fract_x
_atom_site_fract_y
_atom_site_fract_z
Nd1 Nd 0.0720 0.0000 0.4450
Nd2 Nd 0.1774 0.5000 0.2405
Ho1 Ho 0.0574 0.5000 0.7733
Ho2 Ho 0.1866 0.0000 0.9179
Ho3 Ho 0.1984 0.5000 0.6031
Tm1 Tm 0.0600 0.0000 0.0886
```

Values from the calculation:
N(E_F) = 1.530 states/eV per atom
E_form = 0.03 eV/atom
Polymorph energy (0 for the lowest one) = 0 meV/atom

***

# Nd5Ho5Tm2

A relaxed Nd5Ho5Tm2 crystal (PBE-GGA, Alexandria).

Geometry as CIF:
```
data_Nd5Ho5Tm2
_chemical_formula_sum 'Nd10 Ho10 Tm4'
_cell_length_a 15.2232
_cell_length_b 5.0627
_cell_length_c 11.3224
_cell_angle_alpha 90.00
_cell_angle_beta 116.60
_cell_angle_gamma 90.00
_space_group_name_H-M_alt 'C 1 2/m 1'
_space_group_IT_number 12
loop_
_space_group_symop_operation_xyz
'x,y,z'
'-x,-y,-z'
'-x,y,-z'
'x,-y,z'
'x+1/2,y+1/2,z'
'-x+1/2,-y+1/2,-z'
'-x+1/2,y+1/2,-z'
'x+1/2,-y+1/2,z'
loop_
_atom_site_label
_atom_site_type_symbol
_atom_site_fract_x
_atom_site_fract_y
_atom_site_fract_z
Nd1 Nd 0.0000 0.0000 0.0000
Nd2 Nd 0.0818 0.0000 0.7478
Nd3 Nd 0.2492 0.0000 0.2517
Ho1 Ho 0.0000 0.5000 0.5000
Ho2 Ho 0.0848 0.5000 0.2534
Ho3 Ho 0.1670 0.5000 0.9998
Tm1 Tm 0.1670 0.0000 0.4993
```

Values from the calculation:
N(E_F) = 1.433 states/eV per atom
E_form = 0.02 eV/atom

***

# Nd3Ho4Tm3

A relaxed Nd3Ho4Tm3 crystal (PBE-GGA, Alexandria).

Geometry as CIF:
```
data_Nd3Ho4Tm3
_chemical_formula_sum 'Nd6 Ho8 Tm6'
_cell_length_a 3.6784
_cell_length_b 13.2276
_cell_length_c 13.3202
_cell_angle_alpha 90.00
_cell_angle_beta 90.00
_cell_angle_gamma 90.00
_space_group_name_H-M_alt 'A m m 2'
_space_group_IT_number 38
loop_
_space_group_symop_operation_xyz
'x,y,z'
'-x,-y,z'
'-x,y,z'
'x,-y,z'
'x,y+1/2,z+1/2'
'-x,-y+1/2,z+1/2'
'-x,y+1/2,z+1/2'
'x,-y+1/2,z+1/2'
loop_
_atom_site_label
_atom_site_type_symbol
_atom_site_fract_x
_atom_site_fract_y
_atom_site_fract_z
Nd1 Nd 0.0000 0.0000 0.0000
Nd2 Nd 0.0000 0.1735 0.6718
Ho1 Ho 0.5000 0.0000 0.5447
Ho2 Ho 0.5000 0.0000 0.7987
Ho3 Ho 0.5000 0.1250 0.1758
Tm1 Tm 0.0000 0.0000 0.3461
Tm2 Tm 0.5000 0.2454 0.4203
```

Values from the calculation:
N(E_F) = 0.747 states/eV per atom
E_form = 0.10 eV/atom

***

# Nd3HoTm7

A relaxed Nd3HoTm7 crystal (PBE-GGA, Alexandria).

Geometry as CIF:
```
data_Nd3HoTm7
_chemical_formula_sum 'Nd3 Ho1 Tm7'
_cell_length_a 6.9187
_cell_length_b 5.4668
_cell_length_c 9.9399
_cell_angle_alpha 90.00
_cell_angle_beta 109.27
_cell_angle_gamma 90.00
_space_group_name_H-M_alt 'P 1 2/m 1'
_space_group_IT_number 10
loop_
_space_group_symop_operation_xyz
'x,y,z'
'-x,-y,-z'
'-x,y,-z'
'x,-y,z'
loop_
_atom_site_label
_atom_site_type_symbol
_atom_site_fract_x
_atom_site_fract_y
_atom_site_fract_z
Nd1 Nd 0.0000 0.0000 0.0000
Nd2 Nd 0.2807 0.5000 0.4950
Ho1 Ho 0.5000 0.0000 0.0000
Tm1 Tm 0.0000 0.0000 0.5000
Tm2 Tm 0.1498 0.5000 0.7892
Tm3 Tm 0.3213 0.5000 0.1367
Tm4 Tm 0.4264 0.0000 0.3295
```

Values from the calculation:
N(E_F) = 1.541 states/eV per atom
E_form = 0.16 eV/atom
Polymorph energy (0 for the lowest one) = 0 meV/atom

***

# Nd6HoTm3

A relaxed Nd6HoTm3 crystal (PBE-GGA, Alexandria).

Geometry as CIF:
```
data_Nd6HoTm3
_chemical_formula_sum 'Nd24 Ho4 Tm12'
_cell_length_a 10.9188
_cell_length_b 19.3509
_cell_length_c 6.3530
_cell_angle_alpha 90.00
_cell_angle_beta 90.00
_cell_angle_gamma 90.00
_space_group_name_H-M_alt 'C m c 21'
_space_group_IT_number 36
loop_
_space_group_symop_operation_xyz
'x,y,z'
'-x,-y,z+1/2'
'-x,y,z'
'x,-y,z+1/2'
'x+1/2,y+1/2,z'
'-x+1/2,-y+1/2,z+1/2'
'-x+1/2,y+1/2,z'
'x+1/2,-y+1/2,z+1/2'
loop_
_atom_site_label
_atom_site_type_symbol
_atom_site_fract_x
_atom_site_fract_y
_atom_site_fract_z
Nd1 Nd 0.0000 0.0342 0.0000
Nd2 Nd 0.0000 0.2816 0.2364
Nd3 Nd 0.1713 0.4565 0.3470
Nd4 Nd 0.2265 0.2878 0.5434
Ho1 Ho 0.0000 0.1929 0.7873
Tm1 Tm 0.0000 0.3870 0.8102
Tm2 Tm 0.1663 0.1139 0.4193
```

Values from the calculation:
N(E_F) = 1.395 states/eV per atom
E_form = 0.14 eV/atom
Polymorph energy (0 for the lowest one) = 15 meV/atom

***

# NdHo4Tm7

A relaxed NdHo4Tm7 crystal (PBE-GGA, Alexandria).

Geometry as CIF:
```
data_NdHo4Tm7
_chemical_formula_sum 'Nd1 Ho4 Tm7'
_cell_length_a 6.1414
_cell_length_b 7.0934
_cell_length_c 8.7229
_cell_angle_alpha 89.98
_cell_angle_beta 76.33
_cell_angle_gamma 89.91
_space_group_name_H-M_alt 'P -1'
_space_group_IT_number 2
loop_
_space_group_symop_operation_xyz
'x,y,z'
'-x,-y,-z'
loop_
_atom_site_label
_atom_site_type_symbol
_atom_site_fract_x
_atom_site_fract_y
_atom_site_fract_z
Nd1 Nd 0.0000 0.0000 0.0000
Ho1 Ho 0.2214 0.5002 0.3344
Ho2 Ho 0.2794 0.2506 0.6644
Tm1 Tm 0.0000 0.5000 0.0000
Tm2 Tm 0.2220 0.0002 0.3346
Tm3 Tm 0.2789 0.7490 0.6650
Tm4 Tm 0.5001 0.2502 0.0002
```

Values from the calculation:
N(E_F) = 1.388 states/eV per atom
E_form = 0.00 eV/atom
Polymorph energy (0 for the lowest one) = 0 meV/atom

***

# NdHo15Tm4

A relaxed NdHo15Tm4 crystal (PBE-GGA, Alexandria).

Geometry as CIF:
```
data_NdHo15Tm4
_chemical_formula_sum 'Nd1 Ho15 Tm4'
_cell_length_a 4.9831
_cell_length_b 4.9831
_cell_length_c 24.9137
_cell_angle_alpha 90.00
_cell_angle_beta 90.00
_cell_angle_gamma 90.00
_space_group_name_H-M_alt 'P 4/m m m'
_space_group_IT_number 123
_space_group_name_Hall '-P 4 2'
loop_
_atom_site_label
_atom_site_type_symbol
_atom_site_fract_x
_atom_site_fract_y
_atom_site_fract_z
Nd1 Nd 0.0000 0.0000 0.0000
Ho1 Ho 0.0000 0.5000 0.1020
Ho2 Ho 0.0000 0.5000 0.3009
Ho3 Ho 0.0000 0.5000 0.5000
Ho4 Ho 0.5000 0.5000 0.0000
Ho5 Ho 0.5000 0.5000 0.2019
Ho6 Ho 0.5000 0.5000 0.4005
Tm1 Tm 0.0000 0.0000 0.2013
Tm2 Tm 0.0000 0.0000 0.4005
```

Values from the calculation:
N(E_F) = 1.310 states/eV per atom
E_form = 0.02 eV/atom

***

# NdHoTm

A relaxed NdHoTm crystal (PBE-GGA, Alexandria).

Geometry as CIF:
```
data_NdHoTm
_chemical_formula_sum 'Nd4 Ho4 Tm4'
_cell_length_a 3.5260
_cell_length_b 20.2613
_cell_length_c 5.4038
_cell_angle_alpha 90.00
_cell_angle_beta 90.00
_cell_angle_gamma 90.00
_space_group_name_H-M_alt 'C m c m'
_space_group_IT_number 63
_space_group_name_Hall '-C 2c 2'
loop_
_atom_site_label
_atom_site_type_symbol
_atom_site_fract_x
_atom_site_fract_y
_atom_site_fract_z
Nd1 Nd 0.0000 0.2059 0.2500
Ho1 Ho 0.0000 0.3875 0.2500
Tm1 Tm 0.0000 0.0406 0.2500
```

Values from the calculation:
N(E_F) = 1.602 states/eV per atom
E_form = 0.04 eV/atom
Polymorph energy (0 for the lowest one) = 23 meV/atom

***

# Nd3Ho7Tm

A relaxed Nd3Ho7Tm crystal (PBE-GGA, Alexandria).

Geometry as CIF:
```
data_Nd3Ho7Tm
_chemical_formula_sum 'Nd3 Ho7 Tm1'
_cell_length_a 6.9300
_cell_length_b 5.5079
_cell_length_c 9.9771
_cell_angle_alpha 90.00
_cell_angle_beta 108.83
_cell_angle_gamma 90.00
_space_group_name_H-M_alt 'P 1 2/m 1'
_space_group_IT_number 10
loop_
_space_group_symop_operation_xyz
'x,y,z'
'-x,-y,-z'
'-x,y,-z'
'x,-y,z'
loop_
_atom_site_label
_atom_site_type_symbol
_atom_site_fract_x
_atom_site_fract_y
_atom_site_fract_z
Nd1 Nd 0.0000 0.0000 0.0000
Nd2 Nd 0.2793 0.5000 0.4942
Ho1 Ho 0.0000 0.0000 0.5000
Ho2 Ho 0.1502 0.5000 0.7891
Ho3 Ho 0.3218 0.5000 0.1353
Ho4 Ho 0.4283 0.0000 0.3290
Tm1 Tm 0.5000 0.0000 0.0000
```

Values from the calculation:
N(E_F) = 1.475 states/eV per atom
E_form = 0.15 eV/atom
Polymorph energy (0 for the lowest one) = 0 meV/atom

***

# Nd2Ho9Tm

A relaxed Nd2Ho9Tm crystal (PBE-GGA, Alexandria).

Geometry as CIF:
```
data_Nd2Ho9Tm
_chemical_formula_sum 'Nd2 Ho9 Tm1'
_cell_length_a 5.0175
_cell_length_b 5.0175
_cell_length_c 15.0394
_cell_angle_alpha 90.00
_cell_angle_beta 90.00
_cell_angle_gamma 90.00
_space_group_name_H-M_alt 'P 4/m m m'
_space_group_IT_number 123
_space_group_name_Hall '-P 4 2'
loop_
_atom_site_label
_atom_site_type_symbol
_atom_site_fract_x
_atom_site_fract_y
_atom_site_fract_z
Nd1 Nd 0.0000 0.0000 0.1674
Ho1 Ho 0.0000 0.5000 0.0000
Ho2 Ho 0.0000 0.5000 0.3360
Ho3 Ho 0.5000 0.5000 0.1684
Ho4 Ho 0.5000 0.5000 0.5000
Tm1 Tm 0.0000 0.0000 0.5000
```

Values from the calculation:
N(E_F) = 1.429 states/eV per atom
E_form = 0.02 eV/atom
Polymorph energy (0 for the lowest one) = 0 meV/atom

***

# NdHoTm6

A relaxed NdHoTm6 crystal (PBE-GGA, Alexandria).

Geometry as CIF:
```
data_NdHoTm6
_chemical_formula_sum 'Nd2 Ho2 Tm12'
_cell_length_a 6.6827
_cell_length_b 11.6238
_cell_length_c 6.4990
_cell_angle_alpha 90.00
_cell_angle_beta 92.52
_cell_angle_gamma 90.00
_space_group_name_H-M_alt 'C 1 2/m 1'
_space_group_IT_number 12
loop_
_space_group_symop_operation_xyz
'x,y,z'
'-x,-y,-z'
'-x,y,-z'
'x,-y,z'
'x+1/2,y+1/2,z'
'-x+1/2,-y+1/2,-z'
'-x+1/2,y+1/2,-z'
'x+1/2,-y+1/2,z'
loop_
_atom_site_label
_atom_site_type_symbol
_atom_site_fract_x
_atom_site_fract_y
_atom_site_fract_z
Nd1 Nd 0.0000 0.0000 0.0000
Ho1 Ho 0.0000 0.0000 0.5000
Tm1 Tm 0.0467 0.5000 0.2526
Tm2 Tm 0.1734 0.2532 0.7424
```

Values from the calculation:
N(E_F) = 2.084 states/eV per atom
E_form = 0.23 eV/atom
Polymorph energy (0 for the lowest one) = 208 meV/atom